Entry 1:
A plane-wave DFT calculation with GGA-PBE was carried out for a relaxed Cs2CeGe2Se6 crystal.

Formation energy without anion corrections in meV per atom: -834
Total magnetic moment in μB per formula unit: 0.2

Cell lengths 13.309, 7.633, 8.802 Å; angles 90.00, 115.37, 90.00 degrees
Space group C2/m (No. 12)
Inequivalent atoms, fractional coordinates:
Cs1 0.215 0.000 0.157 x4
Ce1 0.000 0.000 0.500 x2
Ge1 0.104 0.500 0.358 x4
Se1 0.009 0.245 0.754 x8
Se2 0.236 0.000 0.701 x4

=====

Entry 2:
A plane-wave DFT calculation with GGA-PBE was carried out for a relaxed CsCeH crystal.

Total magnetic moment in μB per formula unit: 1.5
Uncorrected energy in eV/atom: -3.14

Cell lengths 14.765, 3.847, 6.656 Å; angles 90.00, 90.00, 90.00 degrees
Space group Amm2 (No. 38)
Inequivalent atoms, fractional coordinates:
Cs1 0.133 0.000 0.000 x4
Ce1 0.408 0.000 0.663 x4
H1 0.000 0.000 0.666 x2
H2 0.500 0.000 0.997 x2

=====

Entry 3:
A plane-wave DFT calculation with GGA-PBE was carried out for a relaxed Cs2CeH2O4 crystal.

Total magnetic moment in μB per formula unit: 0.0
Uncorrected energy in eV/atom: -5.70

Cell lengths 14.128, 3.561, 6.861 Å; angles 90.00, 109.60, 90.00 degrees
Space group C2/m (No. 12)
Inequivalent atoms, fractional coordinates:
Cs1 0.143 0.000 0.087 x4
Ce1 0.000 0.000 0.500 x2
H1 0.211 0.000 0.569 x4
O1 0.014 0.500 0.308 x4
O2 0.180 0.000 0.677 x4

=====

Entry 4:
A plane-wave DFT calculation with GGA-PBE was carried out for a relaxed Cs2CeH2O2 crystal.

Total magnetic moment in μB per formula unit: 0.0
Uncorrected energy in eV/atom: -4.99

Cell lengths 4.441, 4.441, 16.137 Å; angles 90.00, 90.00, 90.00 degrees
Space group I4/mmm (No. 139)
Inequivalent atoms, fractional coordinates:
Cs1 0.000 0.000 0.147 x4
Ce1 0.000 0.000 0.500 x2
H1 0.000 0.000 0.353 x4
O1 0.000 0.500 0.000 x4

=====

Entry 5:
A plane-wave DFT calculation with GGA-PBE was carried out for a relaxed Cs2CeH2S4 crystal.

Total magnetic moment in μB per formula unit: 0.0
Uncorrected energy in eV/atom: -4.31

Cell lengths 18.466, 3.618, 7.664 Å; angles 90.00, 113.19, 90.00 degrees
Space group C2/m (No. 12)
Inequivalent atoms, fractional coordinates:
Cs1 0.143 0.000 0.135 x4
Ce1 0.000 0.000 0.500 x2
H1 0.171 0.500 0.628 x4
S1 0.000 0.500 0.246 x4
S2 0.169 0.000 0.665 x4

=====

Entry 6:
A plane-wave DFT calculation with GGA-PBE was carried out for a relaxed Cs2Ce2HfS6 crystal.

Formation energy without anion corrections in meV per atom: -1725
Total magnetic moment in μB per formula unit: 2.0

Cell lengths 7.061, 12.086, 8.560 Å; angles 90.00, 106.15, 90.00 degrees
Space group C2/m (No. 12)
Inequivalent atoms, fractional coordinates:
Cs1 0.000 0.170 0.000 x4
Ce1 0.000 0.334 0.500 x4
Hf1 0.000 0.000 0.500 x2
S1 0.214 0.154 0.676 x8
S2 0.244 0.000 0.324 x4

=====

Entry 7:
A plane-wave DFT calculation with GGA-PBE was carried out for a relaxed Cs3Ce2HfS6 crystal.

Formation energy without anion corrections in meV per atom: -1615
Total magnetic moment in μB per formula unit: 2.7

Cell lengths 7.099, 12.291, 8.413 Å; angles 90.00, 106.35, 90.00 degrees
Space group C2/m (No. 12)
Inequivalent atoms, fractional coordinates:
Cs1 0.000 0.000 0.000 x2
Cs2 0.000 0.331 0.000 x4
Ce1 0.000 0.166 0.500 x4
Hf1 0.000 0.500 0.500 x2
S1 0.214 0.346 0.681 x8
S2 0.246 0.500 0.317 x4

=====

Entry 8:
A plane-wave DFT calculation with GGA-PBE was carried out for a relaxed Cs2CeHgI6 crystal.

Formation energy without anion corrections in meV per atom: -1206
Total magnetic moment in μB per formula unit: 0.0

Cell lengths 8.558, 12.922, 10.955 Å; angles 90.00, 90.00, 90.00 degrees
Space group Pmmn (No. 59, origin choice 2)
Inequivalent atoms, fractional coordinates:
Cs1 0.250 0.035 0.174 x4
Ce1 0.250 0.750 0.821 x2
Hg1 0.250 0.250 0.665 x2
I1 0.005 0.250 0.370 x4
I2 0.005 0.750 0.023 x4
I3 0.250 0.514 0.819 x4

=====

Entry 9:
A plane-wave DFT calculation with GGA-PBE was carried out for a relaxed Cs3Ce3HgS8 crystal.

Formation energy without anion corrections in meV per atom: -1460
Total magnetic moment in μB per formula unit: 1.1

Cell lengths 13.880, 8.704, 9.198 Å; angles 90.00, 118.72, 90.00 degrees
Space group C2/m (No. 12)
Inequivalent atoms, fractional coordinates:
Cs1 0.000 0.000 0.000 x2
Cs2 0.250 0.250 0.000 x4
Ce1 0.000 0.500 0.500 x2
Ce2 0.250 0.250 0.500 x4
Hg1 0.000 0.000 0.500 x2
S1 0.032 0.285 0.307 x8
S2 0.202 0.000 0.664 x4
S3 0.229 0.500 0.682 x4

=====

Entry 10:
A plane-wave DFT calculation with GGA-PBE was carried out for a relaxed CsCe2HgS5 crystal.

Formation energy without anion corrections in meV per atom: -1381
Total magnetic moment in μB per formula unit: 1.0

Cell lengths 7.933, 7.933, 14.934 Å; angles 90.00, 90.00, 90.00 degrees
Space group I4/mcm (No. 140)
Inequivalent atoms, fractional coordinates:
Cs1 0.000 0.000 0.250 x4
Ce1 0.164 0.336 0.000 x8
Hg1 0.000 0.500 0.250 x4
S1 0.000 0.000 0.000 x4
S2 0.143 0.357 0.385 x16

=====

Entry 11:
A plane-wave DFT calculation with GGA-PBE was carried out for a relaxed Cs3Ce2HgSe6 crystal.

Formation energy without anion corrections in meV per atom: -1309
Total magnetic moment in μB per formula unit: 1.0

Cell lengths 7.418, 13.814, 8.583 Å; angles 90.00, 105.26, 90.00 degrees
Space group C2/m (No. 12)
Inequivalent atoms, fractional coordinates:
Cs1 0.000 0.000 0.000 x2
Cs2 0.000 0.347 0.000 x4
Ce1 0.000 0.173 0.500 x4
Hg1 0.000 0.500 0.500 x2
Se1 0.243 0.000 0.660 x4
Se2 0.249 0.314 0.703 x8

=====

Entry 12:
A plane-wave DFT calculation with GGA-PBE was carried out for a relaxed CsCeHgSe3 crystal.

Formation energy without anion corrections in meV per atom: -1215
E above lowest polymorph in kJ/mol of formula units: 0
Total magnetic moment in μB per formula unit: 0.9

Cell lengths 4.455, 16.277, 11.409 Å; angles 90.00, 90.00, 90.00 degrees
Space group Cmcm (No. 63)
Inequivalent atoms, fractional coordinates:
Cs1 0.000 0.246 0.250 x4
Ce1 0.000 0.500 0.000 x4
Hg1 0.000 0.040 0.750 x4
Se1 0.000 0.120 0.548 x8
Se2 0.000 0.437 0.750 x4